# 1
Y4NpO10 | PBE | relaxed

Geometry as CIF:
```
data_Y4NpO10
_symmetry_space_group_name_H-M 'I 4/m'
_symmetry_Int_Tables_number 87
_symmetry_space_group_name_Hall '-I 4'
_cell_length_a 8.516
_cell_length_b 8.516
_cell_length_c 5.322
_cell_angle_alpha 90.00
_cell_angle_beta 90.00
_cell_angle_gamma 90.00
loop_
_atom_site_label
_atom_site_fract_x
_atom_site_fract_y
_atom_site_fract_z
_atom_site_occupancy
Y1 0.099 0.699 0.000 1
Np1 0.000 0.000 0.500 1
O1 0.000 0.500 0.250 1
O2 0.097 0.186 0.264 1
```

***

# 2
YNp2O8 | PBE | relaxed

Geometry as CIF:
```
data_YNp2O8
_symmetry_space_group_name_H-M 'P -3'
_symmetry_Int_Tables_number 147
_cell_length_a 6.8866
_cell_length_b 6.8866
_cell_length_c 4.2367
_cell_angle_alpha 90.00
_cell_angle_beta 90.00
_cell_angle_gamma 120.00
loop_
_symmetry_equiv_pos_as_xyz
'x,y,z'
'-x,-y,-z'
'-y,x-y,z'
'y,-x+y,-z'
'-x+y,-x,z'
'x-y,x,-z'
loop_
_atom_site_label
_atom_site_fract_x
_atom_site_fract_y
_atom_site_fract_z
_atom_site_occupancy
Y1 0.0000 0.0000 0.0000 1
Np1 0.3333 0.6667 0.7471 1
O1 0.1696 0.3405 0.7493 1
O2 0.3333 0.6667 0.2446 1
```

***

# 3
Y3NpO7 | PBE | relaxed

Geometry as CIF:
```
data_Y3NpO7
_symmetry_space_group_name_H-M 'C m c m'
_symmetry_Int_Tables_number 63
_symmetry_space_group_name_Hall '-C 2c 2'
_cell_length_a 7.576
_cell_length_b 10.785
_cell_length_c 7.709
_cell_angle_alpha 90.00
_cell_angle_beta 90.00
_cell_angle_gamma 90.00
loop_
_atom_site_label
_atom_site_fract_x
_atom_site_fract_y
_atom_site_fract_z
_atom_site_occupancy
Y1 0.000 0.000 0.000 1
Y2 0.232 0.264 0.250 1
Np1 0.000 0.500 0.000 1
O1 0.000 0.133 0.750 1
O2 0.000 0.134 0.250 1
O3 0.000 0.406 0.250 1
O4 0.210 0.375 0.530 1
```

***

# 4
YNpO4 | PBE | relaxed

Geometry as CIF:
```
data_YNpO4
_symmetry_space_group_name_H-M 'C m m m'
_symmetry_Int_Tables_number 65
_symmetry_space_group_name_Hall '-C 2 2'
_cell_length_a 7.037
_cell_length_b 7.246
_cell_length_c 3.533
_cell_angle_alpha 90.00
_cell_angle_beta 90.00
_cell_angle_gamma 90.00
loop_
_atom_site_label
_atom_site_fract_x
_atom_site_fract_y
_atom_site_fract_z
_atom_site_occupancy
Y1 0.000 0.000 0.000 1
Np1 0.000 0.500 0.500 1
O1 0.000 0.317 0.000 1
O2 0.206 0.000 0.500 1
```

***

# 5
Y2NpO8 | PBE | relaxed

Geometry as CIF:
```
data_Y2NpO8
_symmetry_space_group_name_H-M 'C 1 2/m 1'
_symmetry_Int_Tables_number 12
_cell_length_a 17.637
_cell_length_b 3.567
_cell_length_c 4.910
_cell_angle_alpha 90.00
_cell_angle_beta 99.73
_cell_angle_gamma 90.00
loop_
_symmetry_equiv_pos_as_xyz
'x,y,z'
'-x,-y,-z'
'-x,y,-z'
'x,-y,z'
'x+1/2,y+1/2,z'
'-x+1/2,-y+1/2,-z'
'-x+1/2,y+1/2,-z'
'x+1/2,-y+1/2,z'
loop_
_atom_site_label
_atom_site_fract_x
_atom_site_fract_y
_atom_site_fract_z
_atom_site_occupancy
Y1 0.153 0.000 0.096 1
Np1 0.000 0.500 0.500 1
O1 0.048 0.000 0.333 1
O2 0.082 0.500 0.821 1
O3 0.181 0.500 0.384 1
O4 0.231 0.500 0.165 1
```

***

# 6
Y2NpO6 | PBE | relaxed

Geometry as CIF:
```
data_Y2NpO6
_symmetry_space_group_name_H-M 'P 42/m n m'
_symmetry_Int_Tables_number 136
_symmetry_space_group_name_Hall '-P 4n 2n'
_cell_length_a 5.097
_cell_length_b 5.097
_cell_length_c 10.409
_cell_angle_alpha 90.00
_cell_angle_beta 90.00
_cell_angle_gamma 90.00
loop_
_atom_site_label
_atom_site_fract_x
_atom_site_fract_y
_atom_site_fract_z
_atom_site_occupancy
Y1 0.000 0.000 0.166 1
Np1 0.000 0.000 0.500 1
O1 0.185 0.185 0.346 1
O2 0.210 0.210 0.000 1
```

***

# 7
YNpO5 | PBE | relaxed

Geometry as CIF:
```
data_YNpO5
_symmetry_space_group_name_H-M 'I m m m'
_symmetry_Int_Tables_number 71
_symmetry_space_group_name_Hall '-I 2 2'
_cell_length_a 4.104
_cell_length_b 6.627
_cell_length_c 8.314
_cell_angle_alpha 90.00
_cell_angle_beta 90.00
_cell_angle_gamma 90.00
loop_
_atom_site_label
_atom_site_fract_x
_atom_site_fract_y
_atom_site_fract_z
_atom_site_occupancy
Y1 0.000 0.000 0.000 1
Np1 0.000 0.000 0.500 1
O1 0.000 0.000 0.267 1
O2 0.000 0.305 0.500 1
O3 0.000 0.500 0.000 1
```

***

# 8
Y3NpO8 | PBE | relaxed

Geometry as CIF:
```
data_Y3NpO8
_symmetry_space_group_name_H-M 'P m -3 m'
_symmetry_Int_Tables_number 221
_symmetry_space_group_name_Hall '-P 4 2 3'
_cell_length_a 5.335
_cell_length_b 5.335
_cell_length_c 5.335
_cell_angle_alpha 90.00
_cell_angle_beta 90.00
_cell_angle_gamma 90.00
loop_
_atom_site_label
_atom_site_fract_x
_atom_site_fract_y
_atom_site_fract_z
_atom_site_occupancy
Y1 0.000 0.000 0.500 1
Np1 0.500 0.500 0.500 1
O1 0.263 0.263 0.263 1
```

***

# 9
YNpZnO6 | PBE | relaxed

Geometry as CIF:
```
data_YNpZnO6
_symmetry_space_group_name_H-M 'P -3 1 c'
_symmetry_Int_Tables_number 163
_symmetry_space_group_name_Hall '-P 3 2c'
_cell_length_a 5.3566
_cell_length_b 5.3566
_cell_length_c 9.9682
_cell_angle_alpha 90.00
_cell_angle_beta 90.00
_cell_angle_gamma 120.00
loop_
_atom_site_label
_atom_site_fract_x
_atom_site_fract_y
_atom_site_fract_z
_atom_site_occupancy
Y1 0.0000 0.0000 0.0000 1
Np1 0.3333 0.6667 0.2500 1
Zn1 0.3333 0.6667 0.7500 1
O1 0.0153 0.3553 0.1363 1
```

***

# 10
NpZnO4 | PBE | relaxed

Geometry as CIF:
```
data_NpZnO4
_symmetry_space_group_name_H-M 'I -4'
_symmetry_Int_Tables_number 82
_cell_length_a 6.173
_cell_length_b 6.173
_cell_length_c 5.343
_cell_angle_alpha 90.00
_cell_angle_beta 90.00
_cell_angle_gamma 90.00
loop_
_symmetry_equiv_pos_as_xyz
'x,y,z'
'y,-x,-z'
'-x,-y,z'
'-y,x,-z'
'x+1/2,y+1/2,z+1/2'
'y+1/2,-x+1/2,-z+1/2'
'-x+1/2,-y+1/2,z+1/2'
'-y+1/2,x+1/2,-z+1/2'
loop_
_atom_site_label
_atom_site_fract_x
_atom_site_fract_y
_atom_site_fract_z
_atom_site_occupancy
Np1 0.000 0.000 0.000 1
Zn1 0.000 0.500 0.750 1
O1 0.133 0.284 0.973 1
```

***

# 11
NpZnO4 | PBE | relaxed

Geometry as CIF:
```
data_NpZnO4
_symmetry_space_group_name_H-M 'C m m m'
_symmetry_Int_Tables_number 65
_symmetry_space_group_name_Hall '-C 2 2'
_cell_length_a 6.635
_cell_length_b 6.649
_cell_length_c 3.475
_cell_angle_alpha 90.00
_cell_angle_beta 90.00
_cell_angle_gamma 90.00
loop_
_atom_site_label
_atom_site_fract_x
_atom_site_fract_y
_atom_site_fract_z
_atom_site_occupancy
Np1 0.000 0.000 0.000 1
Zn1 0.000 0.500 0.500 1
O1 0.000 0.194 0.500 1
O2 0.207 0.500 0.000 1
```

***

# 12
NpZn2O7 | PBE | relaxed

Geometry as CIF:
```
data_NpZn2O7
_symmetry_space_group_name_H-M 'C 1 2/c 1'
_symmetry_Int_Tables_number 15
_cell_length_a 9.066
_cell_length_b 7.742
_cell_length_c 10.217
_cell_angle_alpha 90.00
_cell_angle_beta 106.92
_cell_angle_gamma 90.00
loop_
_symmetry_equiv_pos_as_xyz
'x,y,z'
'-x,-y,-z'
'-x,y,-z+1/2'
'x,-y,z+1/2'
'x+1/2,y+1/2,z'
'-x+1/2,-y+1/2,-z'
'-x+1/2,y+1/2,-z+1/2'
'x+1/2,-y+1/2,z+1/2'
loop_
_atom_site_label
_atom_site_fract_x
_atom_site_fract_y
_atom_site_fract_z
_atom_site_occupancy
Np1 0.000 0.185 0.250 1
Zn1 0.062 0.226 0.613 1
O1 0.000 0.105 0.750 1
O2 0.001 0.484 0.565 1
O3 0.038 0.157 0.077 1
O4 0.216 0.226 0.336 1
```

***

no.,final energy (eV per cell)
1,-269.63
2,-99.85
3,-416.22
4,-117.13
5,-185.24
6,-169.83
7,-128.32
8,-110.11
9,-146.52
10,-91.81
11,-95.31
12,-261.84